Material: POsW2
Method: DFT, PBE
State: relaxed

a b c (Å): 7.0897 7.0897 7.0897
angles (deg): 135.78 135.78 64.32
Sites, in units of the cell vectors:
P (0.0000, 0.0000, 0.0000)
P (0.7500, 0.2500, 0.5000)
Os (0.2500, 0.7500, 0.5000)
Os (0.5000, 0.5000, 0.0000)
W (0.1101, 0.6250, 0.9851)
W (0.3750, 0.3601, 0.4851)
W (0.6399, 0.1250, 0.0149)
W (0.8750, 0.8899, 0.5149)

The mass density is 11.44 g/cm3. The volume comes out at 21.37 Å³ per atom. The formation energy is 0.97 eV per atom.



Material: Cu2PCl
Method: DFT, PBE
State: relaxed

a b c (Å): 7.1721 7.1721 7.1721
angles (deg): 28.81 28.81 28.81
Sites, in units of the cell vectors:
Cu (0.0000, 0.0000, 0.0000)
Cu (0.2618, 0.2618, 0.2618)
P (0.5544, 0.5544, 0.5544)
Cl (0.7282, 0.7282, 0.7282)

The mass density is 4.24 g/cm3. The volume comes out at 18.94 Å³ per atom. The energy relative to the elements, uncorrected is 0.0634 eV per atom.



Material: Nd2Zn15Ag2
Method: DFT, PBE
State: relaxed

a b c (Å): 6.8936 6.8936 6.8936
angles (deg): 82.83 82.83 82.83
Sites, in units of the cell vectors:
Nd (0.1590, 0.1590, 0.1590)
Nd (0.8410, 0.8410, 0.8410)
Zn (0.0000, 0.5000, 0.5000)
Zn (0.1486, 0.1486, 0.6615)
Zn (0.1486, 0.6615, 0.1486)
Zn (0.2063, 0.5000, 0.7937)
Zn (0.2063, 0.7937, 0.5000)
Zn (0.3385, 0.8514, 0.8514)
Zn (0.5000, 0.0000, 0.5000)
Zn (0.5000, 0.2063, 0.7937)
Zn (0.5000, 0.5000, 0.0000)
Zn (0.5000, 0.7937, 0.2063)
Zn (0.6615, 0.1486, 0.1486)
Zn (0.7937, 0.2063, 0.5000)
Zn (0.7937, 0.5000, 0.2063)
Zn (0.8514, 0.3385, 0.8514)
Zn (0.8514, 0.8514, 0.3385)
Ag (0.3944, 0.3944, 0.3944)
Ag (0.6056, 0.6056, 0.6056)

The mass density is 7.70 g/cm3. The volume comes out at 16.87 Å³ per atom. The formation energy is -0.25 eV per atom.